# 1
The following is a DFT calculation (PBE) of a relaxed structure of PmAl2Ag.

The structure in POSCAR format:
```
PmAl2Ag
1.0
4.6361 0.0000 0.0000
0.0000 10.5519 0.0000
0.0000 0.0000 6.8178
Pm Al Ag
4 8 4
direct
0.0000 0.0899 0.2500
0.0000 0.9101 0.7500
0.5000 0.4101 0.7500
0.5000 0.5899 0.2500
0.0000 0.3776 0.0542
0.0000 0.3776 0.4458
0.0000 0.6224 0.5542
0.0000 0.6224 0.9458
0.5000 0.1224 0.5542
0.5000 0.1224 0.9458
0.5000 0.8776 0.0542
0.5000 0.8776 0.4458
0.0000 0.2031 0.7500
0.0000 0.7969 0.2500
0.5000 0.2969 0.2500
0.5000 0.7031 0.7500
```

## Properties
symmetry: Cmcm (63)
offset from the most stable computed form: 0 meV/atom
calculated formation energy: -0.3964 eV/atom

---

# 2
The following is a DFT calculation (PBE) of a relaxed structure of CuSeCl2.

The structure in POSCAR format:
```
CuSeCl2
1.0
6.6844 0.0000 0.0000
0.0000 6.6844 0.0000
0.0000 0.0000 6.6844
Cu Se Cl
4 4 8
direct
0.0000 0.0000 0.0000
0.0000 0.5000 0.5000
0.5000 0.0000 0.5000
0.5000 0.5000 0.0000
0.2500 0.2500 0.7500
0.2500 0.7500 0.2500
0.7500 0.2500 0.2500
0.7500 0.7500 0.7500
0.0000 0.0000 0.5000
0.0000 0.5000 0.0000
0.2500 0.2500 0.2500
0.2500 0.7500 0.7500
0.5000 0.0000 0.0000
0.5000 0.5000 0.5000
0.7500 0.2500 0.7500
0.7500 0.7500 0.2500
```

## Properties
symmetry: F-43m (216)
ΔE_f (raw): 559 meV/atom
offset from the most stable computed form: 856 meV/atom

---

# 3
The following is a DFT calculation (PBE) of a relaxed structure of NdY4Er6.

The structure in POSCAR format:
```
NdY4Er6
1.0
-3.2739 3.2739 8.5390
3.2739 -3.2739 8.5390
3.2739 3.2739 -8.5390
Nd Y Er
1 4 6
direct
0.0000 0.0000 0.0000
0.0129 0.6385 0.0000
0.3615 0.3615 0.3744
0.6385 0.0129 0.0000
0.9871 0.9871 0.6256
0.0000 0.5000 0.5000
0.1909 0.1909 0.6415
0.4506 0.8091 0.0000
0.5000 0.0000 0.5000
0.5494 0.5494 0.3585
0.8091 0.4506 0.0000
```

## Properties
symmetry: I-42m (121)
calculated formation energy: 0.3134 eV/atom

---

# 4
The following is a DFT calculation (PBE) of a relaxed structure of SrIn2PbCl6.

The structure in POSCAR format:
```
SrIn2PbCl6
1.0
3.9090 2.2569 6.5753
-3.9090 2.2569 6.5753
0.0000 -4.5138 6.5753
Sr In Pb Cl
1 2 1 6
direct
0.0000 0.0000 0.0000
0.2881 0.2881 0.2881
0.7883 0.7883 0.7883
0.4996 0.4996 0.4996
0.1496 0.7128 0.3484
0.2102 0.6459 0.8541
0.3484 0.1496 0.7128
0.6459 0.8541 0.2102
0.7128 0.3484 0.1496
0.8541 0.2102 0.6459
```

## Properties
symmetry: R3 (146)
ΔE_f (raw): -1406 meV/atom

---

# 5
The following is a DFT calculation (PBE) of a relaxed structure of SeCl2.

The structure in POSCAR format:
```
SeCl2
1.0
4.6064 0.0000 0.0000
0.0000 4.6064 0.0000
0.0000 0.0000 3.2535
Se Cl
1 2
direct
0.0000 0.0000 0.0000
0.0000 0.5000 0.5000
0.5000 0.0000 0.5000
```

## Properties
symmetry: P4/mmm (123)
ΔE_f (raw): 311 meV/atom

---

# 6
The following is a DFT calculation (PBE) of a relaxed structure of ZnCo2Pt.

The structure in POSCAR format:
```
ZnCo2Pt
1.0
2.6662 0.0000 0.0000
0.0000 4.0034 0.0000
-1.3330 0.0000 4.8921
Zn Co Pt
1 2 1
direct
0.0000 0.0000 0.0000
0.6175 0.5000 0.2308
0.7307 0.0000 0.4670
0.3527 0.5000 0.7090
```

## Properties
symmetry: Pm (6)
calculated formation energy: -0.0681 eV/atom

---

# 7
The following is a DFT calculation (PBE) of a relaxed structure of Tb3Ho5Tl.

The structure in POSCAR format:
```
Tb3Ho5Tl
1.0
5.9987 -5.6467 0.0000
5.9987 5.6467 0.0000
-3.3247 0.0000 9.5803
Tb Ho Tl
6 10 2
direct
0.0000 0.0000 0.0000
0.0007 0.0007 0.3129
0.4974 0.4974 0.8285
0.5000 0.5000 0.5000
0.5026 0.5026 0.1715
0.9993 0.9993 0.6871
0.0548 0.5729 0.7061
0.2311 0.7689 0.5000
0.2370 0.2370 0.5570
0.2504 0.2504 0.9065
0.4271 0.9452 0.2939
0.5729 0.0548 0.7061
0.7496 0.7496 0.0935
0.7630 0.7630 0.4430
0.7689 0.2311 0.5000
0.9452 0.4271 0.2939
0.2662 0.2662 0.2285
0.7338 0.7338 0.7715
```

## Properties
symmetry: C2/m (12)
calculated formation energy: 0.3907 eV/atom

---

# 8
The following is a DFT calculation (PBE) of a relaxed structure of Zn7Ga2.

The structure in POSCAR format:
```
Zn7Ga2
1.0
2.6044 1.5037 13.0469
-2.6044 1.5037 13.0469
0.0000 -3.0074 13.0469
Zn Ga
14 4
direct
0.0000 0.0000 0.0000
0.0000 0.0000 0.5000
0.0000 0.5000 0.0000
0.1096 0.1096 0.1096
0.1160 0.1160 0.6094
0.1160 0.6094 0.1160
0.2238 0.2238 0.2238
0.3906 0.8840 0.8840
0.5000 0.0000 0.0000
0.6094 0.1160 0.1160
0.7762 0.7762 0.7762
0.8840 0.3906 0.8840
0.8840 0.8840 0.3906
0.8904 0.8904 0.8904
0.3517 0.3517 0.3517
0.4594 0.4594 0.4594
0.5406 0.5406 0.5406
0.6483 0.6483 0.6483
```

## Properties
symmetry: R-3m (166)
offset from the most stable computed form: 40 meV/atom
calculated formation energy: 0.0756 eV/atom

---

# 9
The following is a DFT calculation (PBE) of a relaxed structure of TcHg2As.

The structure in POSCAR format:
```
TcHg2As
1.0
5.4435 0.0000 0.0000
0.0000 10.6804 0.0000
-1.7623 0.0000 2.7453
Tc Hg As
2 4 2
direct
0.0000 0.0000 0.0000
0.5000 0.5000 0.0000
0.2500 0.2500 0.0000
0.2500 0.7500 0.0000
0.7500 0.2500 0.0000
0.7500 0.7500 0.0000
0.0000 0.5000 0.0000
0.5000 0.0000 0.0000
```

## Properties
symmetry: C2/m (12)
calculated formation energy: 0.6021 eV/atom

---

# 10
The following is a DFT calculation (PBE) of a relaxed structure of PuHfZr2.

The structure in POSCAR format:
```
PuHfZr2
1.0
7.1679 0.0000 0.0000
0.0000 7.1679 0.0000
0.0000 0.0000 7.1679
Pu Hf Zr
4 4 8
direct
0.0000 0.0000 0.0000
0.0000 0.5000 0.5000
0.5000 0.0000 0.5000
0.5000 0.5000 0.0000
0.0000 0.0000 0.5000
0.0000 0.5000 0.0000
0.5000 0.0000 0.0000
0.5000 0.5000 0.5000
0.2500 0.2500 0.2500
0.2500 0.2500 0.7500
0.2500 0.7500 0.2500
0.2500 0.7500 0.7500
0.7500 0.2500 0.2500
0.7500 0.2500 0.7500
0.7500 0.7500 0.2500
0.7500 0.7500 0.7500
```

## Properties
symmetry: Fm-3m (225)
offset from the most stable computed form: 99 meV/atom
calculated formation energy: 0.1739 eV/atom

---

# 11
The following is a DFT calculation (PBE) of a relaxed structure of Hf3NbSi.

The structure in POSCAR format:
```
Hf3NbSi
1.0
5.0151 0.0000 0.0000
0.0000 5.0151 0.0000
0.0000 0.0000 5.0151
Hf Nb Si
3 1 1
direct
0.0000 0.0000 0.5000
0.0000 0.5000 0.0000
0.5000 0.0000 0.0000
0.0000 0.0000 0.0000
0.5000 0.5000 0.5000
```

## Properties
symmetry: Pm-3m (221)
ΔE_f (raw): 1185 meV/atom
offset from the most stable computed form: 711 meV/atom

---

# 12
The following is a DFT calculation (PBE) of a relaxed structure of Y13Er2.

The structure in POSCAR format:
```
Y13Er2
1.0
6.6271 0.0000 0.0000
1.3596 8.8916 0.0000
1.3494 3.5532 8.1593
Y Er
13 2
direct
0.0000 0.0000 0.0000
0.1039 0.4508 0.7459
0.1975 0.1996 0.2024
0.2880 0.6249 0.9793
0.3081 0.9543 0.6400
0.3987 0.3980 0.4030
0.4864 0.1700 0.8375
0.5136 0.8300 0.1625
0.6013 0.6020 0.5970
0.6919 0.0457 0.3600
0.7120 0.3751 0.0207
0.8025 0.8004 0.7976
0.8961 0.5492 0.2541
0.0983 0.7838 0.4156
0.9017 0.2162 0.5844
```

## Properties
symmetry: P-1 (2)
offset from the most stable computed form: 0 meV/atom
calculated formation energy: 0.0630 eV/atom

---

# 13
The following is a DFT calculation (PBE) of a relaxed structure of TlInTc.

The structure in POSCAR format:
```
TlInTc
1.0
3.4730 0.0000 0.0000
0.0000 3.4730 0.0000
0.0000 0.0000 10.1882
Tl In Tc
2 2 2
direct
0.0000 0.0000 0.0000
0.5000 0.5000 0.5000
0.0000 0.0000 0.2988
0.5000 0.5000 0.7988
0.0000 0.0000 0.6631
0.5000 0.5000 0.1631
```

## Properties
symmetry: I4mm (107)
offset from the most stable computed form: 0 meV/atom
calculated formation energy: 0.5527 eV/atom

---

# 14
The following is a DFT calculation (PBE) of a relaxed structure of OsPb4Br.

The structure in POSCAR format:
```
OsPb4Br
1.0
0.0000 4.4825 4.4825
4.4825 0.0000 4.4825
4.4825 4.4825 0.0000
Os Pb Br
1 4 1
direct
0.0000 0.0000 0.0000
0.1225 0.6258 0.6258
0.6258 0.1225 0.6258
0.6258 0.6258 0.1225
0.6258 0.6258 0.6258
0.2500 0.2500 0.2500
```

## Properties
symmetry: F-43m (216)
ΔE_f (raw): 972 meV/atom

---

# 15
The following is a DFT calculation (PBE) of a relaxed structure of Nb3CdGa.

The structure in POSCAR format:
```
Nb3CdGa
1.0
4.7782 0.0000 0.0000
0.0000 4.7782 0.0000
0.0000 0.0000 4.7782
Nb Cd Ga
3 1 1
direct
0.0000 0.0000 0.5000
0.0000 0.5000 0.0000
0.5000 0.0000 0.0000
0.5000 0.5000 0.5000
0.0000 0.0000 0.0000
```

## Properties
symmetry: Pm-3m (221)
offset from the most stable computed form: 0 meV/atom
calculated formation energy: 0.9145 eV/atom

---

# 16
The following is a DFT calculation (PBE) of a relaxed structure of CdRe2Ir.

The structure in POSCAR format:
```
CdRe2Ir
1.0
2.8984 0.0000 0.0000
0.0000 4.6984 0.0000
0.0000 0.0000 9.4895
Cd Re Ir
2 4 2
direct
0.0000 0.0000 0.0000
0.5000 0.5000 0.0000
0.0000 0.0000 0.5019
0.0000 0.5000 0.2714
0.5000 0.0000 0.2714
0.5000 0.5000 0.5019
0.0000 0.5000 0.7414
0.5000 0.0000 0.7414
```

## Properties
symmetry: Cmm2 (35)
calculated formation energy: 0.3722 eV/atom

---

# 17
The following is a DFT calculation (PBE) of a relaxed structure of LaFe2Cu.

The structure in POSCAR format:
```
LaFe2Cu
1.0
7.2537 0.0000 0.0000
0.0000 4.1861 0.0000
-2.4056 0.0000 4.7913
La Fe Cu
2 4 2
direct
0.0000 0.0000 0.0000
0.5000 0.5000 0.0000
0.1800 0.0000 0.5401
0.3200 0.5000 0.4599
0.6800 0.5000 0.5401
0.8200 0.0000 0.4599
0.0000 0.5000 0.5000
0.5000 0.0000 0.5000
```

## Properties
symmetry: C2/m (12)
calculated formation energy: 0.1214 eV/atom

---

# 18
The following is a DFT calculation (PBE) of a relaxed structure of HfMgCuOs.

The structure in POSCAR format:
```
HfMgCuOs
1.0
6.3894 0.0000 0.0000
0.0000 6.3894 0.0000
0.0000 0.0000 6.3894
Hf Mg Cu Os
4 4 4 4
direct
0.0000 0.0000 0.0000
0.0000 0.5000 0.5000
0.5000 0.0000 0.5000
0.5000 0.5000 0.0000
0.0000 0.0000 0.5000
0.0000 0.5000 0.0000
0.5000 0.0000 0.0000
0.5000 0.5000 0.5000
0.2500 0.2500 0.2500
0.2500 0.7500 0.7500
0.7500 0.2500 0.7500
0.7500 0.7500 0.2500
0.2500 0.2500 0.7500
0.2500 0.7500 0.2500
0.7500 0.2500 0.2500
0.7500 0.7500 0.7500
```

## Properties
symmetry: F-43m (216)
calculated formation energy: -0.1824 eV/atom

---

# 19
The following is a DFT calculation (PBE) of a relaxed structure of KRhSI2.

The structure in POSCAR format:
```
KRhSI2
1.0
5.6303 0.0000 0.0000
0.0000 5.6303 0.0000
0.0000 0.0000 5.6526
K Rh S I
1 1 1 2
direct
0.0000 0.0000 0.0000
0.5000 0.5000 0.0000
0.0000 0.0000 0.5000
0.0000 0.5000 0.5000
0.5000 0.0000 0.5000
```

## Properties
symmetry: P4/mmm (123)
ΔE_f (raw): 592 meV/atom

---

# 20
The following is a DFT calculation (PBE) of a relaxed structure of AlV5Mo2.

The structure in POSCAR format:
```
AlV5Mo2
1.0
6.0859 0.0000 0.0000
0.0000 6.0859 0.0000
0.0000 0.0000 6.1501
Al V Mo
2 10 4
direct
0.0000 0.0000 0.0000
0.5000 0.5000 0.5000
0.0000 0.0000 0.5000
0.2500 0.2500 0.2500
0.2500 0.2500 0.7500
0.2500 0.7500 0.2500
0.2500 0.7500 0.7500
0.5000 0.5000 0.0000
0.7500 0.2500 0.2500
0.7500 0.2500 0.7500
0.7500 0.7500 0.2500
0.7500 0.7500 0.7500
0.0000 0.5000 0.0000
0.0000 0.5000 0.5000
0.5000 0.0000 0.0000
0.5000 0.0000 0.5000
```

## Properties
symmetry: I4/mmm (139)
calculated formation energy: -0.1379 eV/atom

---

# 21
The following is a DFT calculation (PBE) of a relaxed structure of LaNdZnGa.

The structure in POSCAR format:
```
LaNdZnGa
1.0
7.4634 0.0000 0.0000
0.0000 7.4634 0.0000
0.0000 0.0000 7.4634
La Nd Zn Ga
4 4 4 4
direct
0.0000 0.0000 0.0000
0.0000 0.5000 0.5000
0.5000 0.0000 0.5000
0.5000 0.5000 0.0000
0.0000 0.0000 0.5000
0.0000 0.5000 0.0000
0.5000 0.0000 0.0000
0.5000 0.5000 0.5000
0.2500 0.2500 0.7500
0.2500 0.7500 0.2500
0.7500 0.2500 0.2500
0.7500 0.7500 0.7500
0.2500 0.2500 0.2500
0.2500 0.7500 0.7500
0.7500 0.2500 0.7500
0.7500 0.7500 0.2500
```

## Properties
symmetry: F-43m (216)
calculated formation energy: -0.4460 eV/atom

---

# 22
The following is a DFT calculation (PBE) of a relaxed structure of Ho2CdSn.

The structure in POSCAR format:
```
Ho2CdSn
1.0
4.9489 0.0000 0.0000
0.0000 4.9489 0.0000
0.0000 0.0000 4.2160
Ho Cd Sn
2 1 1
direct
0.0000 0.5000 0.0000
0.5000 0.0000 0.0000
0.0000 0.0000 0.5000
0.5000 0.5000 0.5000
```

## Properties
symmetry: P4/mmm (123)
calculated formation energy: -0.4934 eV/atom

---

# 23
The following is a DFT calculation (PBE) of a relaxed structure of Er4Sb2C.

The structure in POSCAR format:
```
Er4Sb2C
1.0
12.2804 0.0000 0.0000
0.0000 3.7571 0.0000
-3.4829 0.0000 7.4227
Er Sb C
8 4 2
direct
0.0602 0.0000 0.3263
0.1400 0.5000 0.0470
0.3600 0.0000 0.9530
0.4398 0.5000 0.6736
0.5602 0.5000 0.3263
0.6400 0.0000 0.0470
0.8600 0.5000 0.9530
0.9398 0.0000 0.6736
0.1604 0.5000 0.6797
0.3396 0.0000 0.3203
0.6604 0.0000 0.6797
0.8396 0.5000 0.3203
0.0000 0.0000 0.0000
0.5000 0.5000 0.0000
```

## Properties
symmetry: C2/m (12)
ΔE_f (raw): -697 meV/atom
offset from the most stable computed form: 78 meV/atom

---

# 24
The following is a DFT calculation (PBE) of a relaxed structure of Tm4InAg2Pt.

The structure in POSCAR format:
```
Tm4InAg2Pt
1.0
2.5341 1.4630 8.2676
-2.5341 1.4630 8.2676
0.0000 -2.9261 8.2676
Tm In Ag Pt
4 1 2 1
direct
0.1162 0.1162 0.1162
0.3684 0.3684 0.3684
0.6316 0.6316 0.6316
0.8838 0.8838 0.8838
0.5000 0.5000 0.5000
0.2410 0.2410 0.2410
0.7590 0.7590 0.7590
0.0000 0.0000 0.0000
```

## Properties
symmetry: R-3m (166)
calculated formation energy: -0.6309 eV/atom

---

# 25
The following is a DFT calculation (PBE) of a relaxed structure of Ca2FeW.

The structure in POSCAR format:
```
Ca2FeW
1.0
3.9776 0.0000 0.0000
-1.9888 3.4447 0.0000
0.0000 0.0000 24.1933
Ca Fe W
6 3 3
direct
0.0000 0.0000 0.0000
0.0000 0.0000 0.1818
0.3333 0.6667 0.6667
0.3333 0.6667 0.8485
0.6667 0.3333 0.3333
0.6667 0.3333 0.5152
0.0000 0.0000 0.4315
0.3333 0.6667 0.0982
0.6667 0.3333 0.7648
0.0000 0.0000 0.7547
0.3333 0.6667 0.4213
0.6667 0.3333 0.0880
```

## Properties
symmetry: R3m (160)
offset from the most stable computed form: 0 meV/atom
calculated formation energy: 0.4223 eV/atom

---

# 26
The following is a DFT calculation (PBE) of a relaxed structure of K2ZnPt.

The structure in POSCAR format:
```
K2ZnPt
1.0
5.2800 0.0000 0.0000
0.0000 4.7560 0.0000
-2.6333 0.0000 5.3485
K Zn Pt
2 1 1
direct
0.0000 0.0000 0.0000
0.3093 0.5000 0.6205
0.6322 0.5000 0.2662
0.6826 0.0000 0.3650
```

## Properties
symmetry: Pm (6)
calculated formation energy: -0.1182 eV/atom

---

no.,uncorrected energy (eV per atom)
1,-4.168
2,-2.259
3,-4.959
4,-3.601
5,-2.081
6,-5.450
7,-3.959
8,-1.588
9,-3.303
10,-10.172
11,-7.886
12,-6.148
13,-4.604
14,-3.651
15,-5.916
16,-8.296
17,-6.366
18,-6.901
19,-2.544
20,-9.013
21,-3.945
22,-4.012
23,-5.800
24,-4.677
25,-5.932
26,-2.496